Compound: Rb2MoO4
Source: Alexandria via LeMat-Bulk
Functional: GGA+U
Structure: optimized geometry

The calculation puts the total magnetization at 0.02 μB per atom. Its energy above the most stable polymorph in this dataset is 37 meV per atom.

```
data_Rb2MoO4
_chemical_formula_sum 'Rb4 Mo2 O8'
_cell_length_a 6.000
_cell_length_b 6.715
_cell_length_c 8.081
_cell_angle_alpha 90.00
_cell_angle_beta 105.79
_cell_angle_gamma 90.00
_space_group_name_H-M_alt 'P 1 21/m 1'
_space_group_IT_number 11
loop_
_space_group_symop_operation_xyz
'x,y,z'
'-x,-y,-z'
'-x,y+1/2,-z'
'x,-y+1/2,z'
loop_
_atom_site_label
_atom_site_type_symbol
_atom_site_fract_x
_atom_site_fract_y
_atom_site_fract_z
Rb1 Rb 0.083 0.250 0.109
Rb2 Rb 0.224 0.750 0.521
Mo1 Mo 0.368 0.250 0.736
O1 O 0.241 0.032 0.802
O2 O 0.294 0.250 0.502
O3 O 0.321 0.750 0.188
```